First-principles (PBE) data for an optimized crystal structure of ThAlB12, as listed in Alexandria.

The density of states at the Fermi level comes out at 1.42 states/eV/f.u. Its size of the total moment is 0.000 μB per atom. The formation energy is -163 kJ/mol of formula units.

a b c (Å): 4.144 4.144 8.340
angles (deg): 90.00 90.00 90.00
Fractional coordinates of all 14 atoms:
1 Th 0.000 0.000 0.500
2 Al 0.000 0.000 0.000
3 B 0.200 0.500 0.253
4 B 0.200 0.500 0.747
5 B 0.500 0.500 0.402
6 B 0.500 0.500 0.898
7 B 0.500 0.200 0.253
8 B 0.500 0.200 0.747
9 B 0.500 0.500 0.102
10 B 0.500 0.500 0.598
11 B 0.500 0.800 0.253
12 B 0.500 0.800 0.747
13 B 0.800 0.500 0.253
14 B 0.800 0.500 0.747